(1)
Compound: LaTb2SmTm5
Source: Alexandria via LeMat-Bulk
Functional: PBE-GGA
Structure: relaxed

a b c (Å): 8.783 8.783 15.029
angles (deg): 90.00 90.00 90.00
Space group I4/mcm (No. 140)
Inequivalent atoms, fractional coordinates:
La  0.000  0.000  0.250 x4
Tb  0.115  0.385  0.000 x8
Sm  0.000  0.500  0.250 x4
Tm  0.000  0.000  0.000 x4
Tm  0.205  0.295  0.368 x16

Raw total energy = -4.3148 eV per atom
Mass density = 8.3 g/cm³
Formation energy = 0.270 eV/atom

***

(2)
Compound: YTiVPt2
Source: Alexandria via LeMat-Bulk
Functional: PBE-GGA
Structure: relaxed

a b c (Å): 4.680 4.680 4.785
angles (deg): 90.00 90.00 90.00
Space group P4/mmm (No. 123)
Inequivalent atoms, fractional coordinates:
Y  0.000  0.000  0.000 x1
Ti  0.500  0.500  0.000 x1
V  0.000  0.000  0.500 x1
Pt  0.000  0.500  0.500 x2

Raw total energy = -6.6363 eV per atom
Mass density = 9.2 g/cm³
Formation energy = 0.476 eV/atom

***

(3)
Compound: EuInAg
Source: Alexandria via LeMat-Bulk
Functional: PBE-GGA
Structure: relaxed

a b c (Å): 4.9595 4.9595 3.7460
angles (deg): 90.00 90.00 120.00
Space group P-6m2 (No. 187)
Inequivalent atoms, fractional coordinates:
Eu  0.0000  0.0000  0.0000 x1
In  0.3333  0.6667  0.5000 x1
Ag  0.6667  0.3333  0.5000 x1

Raw total energy = -5.6670 eV per atom
Mass density = 7.8 g/cm³
Formation energy = -0.379 eV/atom

***

(4)
Compound: Ce2PrNdN4
Source: Alexandria via LeMat-Bulk
Functional: PBE-GGA
Structure: relaxed

a b c (Å): 6.254 3.613 6.260
angles (deg): 90.00 109.44 90.00
Space group P2/m (No. 10)
Inequivalent atoms, fractional coordinates:
Ce  0.000  0.000  0.000 x1
Ce  0.500  0.500  0.000 x1
Pr  0.000  0.500  0.500 x1
Nd  0.500  0.000  0.500 x1
N  0.246  0.500  0.232 x2
N  0.258  0.000  0.769 x2

Raw total energy = -8.2793 eV per atom
Mass density = 7.7 g/cm³

***

(5)
Compound: Al2OsPb
Source: Alexandria via LeMat-Bulk
Functional: PBE-GGA
Structure: relaxed

a b c (Å): 5.550 7.835 3.232
angles (deg): 90.00 90.00 90.00
Space group Cmmm (No. 65)
Inequivalent atoms, fractional coordinates:
Al  0.250  0.250  0.000 x4
Os  0.000  0.000  0.500 x2
Pb  0.000  0.500  0.500 x2

Raw total energy = -5.1546 eV per atom
Mass density = 10.7 g/cm³
Formation energy = 0.451 eV/atom

***

(6)
Compound: SmTlIr
Source: Alexandria via LeMat-Bulk
Functional: PBE-GGA
Structure: relaxed

a b c (Å): 7.268 4.308 8.805
angles (deg): 90.00 90.00 90.00
Space group Pnma (No. 62)
Inequivalent atoms, fractional coordinates:
Sm  0.037  0.250  0.179 x4
Tl  0.147  0.250  0.563 x4
Ir  0.240  0.250  0.872 x4

Raw total energy = -5.7500 eV per atom
Mass density = 13.2 g/cm³
Formation energy = -0.435 eV/atom

***

(7)
Compound: Tb2Ho2In3
Source: Alexandria via LeMat-Bulk
Functional: PBE-GGA
Structure: relaxed

a b c (Å): 15.061 3.575 8.293
angles (deg): 90.00 118.13 90.00
Space group C2/m (No. 12)
Inequivalent atoms, fractional coordinates:
Tb  0.131  0.000  0.324 x4
Ho  0.188  0.000  0.783 x4
In  0.000  0.500  0.500 x2
In  0.080  0.500  0.949 x4

Energy above the lowest structure with this stoichiometry = 0 meV/atom
Raw total energy = -4.1480 eV per atom
Mass density = 8.4 g/cm³
Formation energy = -0.344 eV/atom

***

(8)
Compound: BaTe2As
Source: Alexandria via LeMat-Bulk
Functional: PBE-GGA
Structure: relaxed

a b c (Å): 4.653 4.653 7.012
angles (deg): 90.00 90.00 90.00
Space group P4mm (No. 99)
Inequivalent atoms, fractional coordinates:
Ba  0.000  0.000  0.000 x1
Te  0.000  0.000  0.509 x1
Te  0.500  0.500  0.113 x1
As  0.500  0.500  0.489 x1

Raw total energy = -3.8507 eV per atom
Mass density = 5.1 g/cm³

***

(9)
Compound: InTcCl2
Source: Alexandria via LeMat-Bulk
Functional: PBE-GGA
Structure: relaxed

a b c (Å): 3.297 3.297 8.603
angles (deg): 90.00 90.00 90.00
Space group P4/mmm (No. 123)
Inequivalent atoms, fractional coordinates:
In  0.000  0.000  0.000 x1
Tc  0.000  0.000  0.500 x1
Cl  0.500  0.500  0.308 x2

Energy above the lowest structure with this stoichiometry = 467 meV/atom
Raw total energy = -4.0149 eV per atom
Mass density = 5.0 g/cm³

***

(10)
Compound: CaThUO6
Source: Alexandria via LeMat-Bulk
Functional: PBE-GGA
Structure: relaxed

a b c (Å): 5.7882 5.7882 9.7547
angles (deg): 90.00 90.00 120.00
Space group P-31c (No. 163)
Inequivalent atoms, fractional coordinates:
Ca  0.3333  0.6667  0.2500 x2
Th  0.0000  0.0000  0.0000 x2
U  0.3333  0.6667  0.7500 x2
O  0.0343  0.3557  0.6334 x12

Raw total energy = -8.9337 eV per atom
Mass density = 7.1 g/cm³

***

(11)
Compound: TbY2In9
Source: Alexandria via LeMat-Bulk
Functional: PBE-GGA
Structure: relaxed

a b c (Å): 4.645 4.645 13.931
angles (deg): 90.00 90.00 90.00
Space group P4/mmm (No. 123)
Inequivalent atoms, fractional coordinates:
Tb  0.000  0.000  0.000 x1
Y  0.000  0.000  0.333 x2
In  0.000  0.500  0.167 x4
In  0.000  0.500  0.500 x2
In  0.500  0.500  0.000 x1
In  0.500  0.500  0.333 x2

Raw total energy = -3.9439 eV per atom
Mass density = 7.6 g/cm³
Formation energy = -0.427 eV/atom

***

(12)
Compound: PmNdSbO2
Source: Alexandria via LeMat-Bulk
Functional: PBE-GGA
Structure: relaxed

a b c (Å): 3.984 3.984 13.793
angles (deg): 90.00 90.00 90.00
Space group I4mm (No. 107)
Inequivalent atoms, fractional coordinates:
Pm  0.000  0.000  0.000 x2
Nd  0.000  0.000  0.672 x2
Sb  0.000  0.000  0.337 x2
O  0.000  0.500  0.085 x4

Raw total energy = -7.3186 eV per atom
Mass density = 6.7 g/cm³